An optimized crystal structure of AcThZn4, computed with PBE.

Computed properties:
Space-group type: Immm, No. 71
Density of states at the Fermi level, states/eV per cell: 6.250
Size of the total moment, μB/f.u.: 0.0
Formation energy, meV per atom: -264
Relative energy among the computed polymorphs, meV per atom: 0

abc: 6.0053 6.0053 6.0053
angles: 135.23 102.27 94.44
Element x y z (fractional)
Ac: 0.0000 0.0000 0.0000
Th: 0.5000 0.0000 0.5000
Zn: 0.1129 0.3322 0.7807
Zn: 0.4484 0.6678 0.7807
Zn: 0.5516 0.3322 0.2193
Zn: 0.8871 0.6678 0.2193